# 1
Entry from Alexandria via LeMat-Bulk: DyFeTcGe2 after structural relaxation (GGA-PBE).

Properties
density of states at the Fermi level: 4.55 states/eV per cell
calculated total energy: -34.871 eV per cell
E_form: -0.441 eV per atom
V: 87.1 Å³/cell

Cell: 4.0281 4.0281 6.0792 Å, 109.35 109.35 90.00°
Site moments in Bohr magnetons follow the coordinates.
Atoms (fractional coordinates):
Ge (0.3810, 0.3810, 0.7620)  -0.04
Tc (0.2500, 0.7500, 0.5000)  0.37
Ge (0.6190, 0.6190, 0.2380)  -0.04
Dy (0.0000, 0.0000, 0.0000)  -0.02
Fe (0.7500, 0.2500, 0.5000)  2.14

---

# 2
Entry from Alexandria via LeMat-Bulk: Rb2NpBr4 after structural relaxation (GGA-PBE).

Properties
energy relative to the elements, uncorrected: -1360 meV/atom
density of states at the Fermi level: 12.99 states/eV per cell
calculated total energy: -31.087 eV per cell
V: 295.5 Å³/cell

Cell: 5.8053 5.8053 9.6825 Å, 72.56 72.56 90.00°
Site moments in Bohr magnetons follow the coordinates.
Atoms (fractional coordinates):
Br (0.1687, 0.1687, 0.6625)  -0.01
Br (0.8313, 0.8313, 0.3375)  -0.01
Rb (0.3625, 0.3625, 0.2749)  0.01
Rb (0.6375, 0.6375, 0.7251)  0.01
Np (0.0000, 0.0000, 0.0000)  4.55
Br (0.5000, 0.0000, 0.0000)  -0.02
Br (0.0000, 0.5000, 0.0000)  -0.02

---

# 3
Entry from Alexandria via LeMat-Bulk: Li2ZrCd3 after structural relaxation (GGA-PBE).

Properties
density of states at the Fermi level: 3.76 states/eV per cell
calculated total energy: -16.313 eV per cell
E_form: -0.199 eV per atom
V: 115.3 Å³/cell

Cell: 3.2617 3.2617 10.8410 Å, 90.00 90.00 90.00°
Atoms (fractional coordinates):
Cd (0.0000, 0.0000, 0.0000)
Li (0.5000, 0.5000, 0.1573)
Cd (0.0000, 0.0000, 0.6918)
Cd (0.0000, 0.0000, 0.3082)
Zr (0.5000, 0.5000, 0.5000)
Li (0.5000, 0.5000, 0.8427)

---

# 4
Entry from Alexandria via LeMat-Bulk: AcTlSb2 after structural relaxation (GGA-PBE).

Properties
excess energy over the best structure of this formula in the dataset: 0.054 eV per atom
energy relative to the elements, uncorrected: -515 meV/atom
density of states at the Fermi level: 2.96 states/eV per cell
calculated total energy: -16.778 eV per cell
V: 135.6 Å³/cell

Cell: 4.4422 4.4422 6.8735 Å, 90.00 90.00 90.00°
Atoms (fractional coordinates):
Ac (0.5000, 0.5000, 0.5000)
Sb (0.0000, 0.0000, 0.2801)
Sb (0.0000, 0.0000, 0.7199)
Tl (0.5000, 0.5000, 0.0000)

---

# 5
Entry from Alexandria via LeMat-Bulk: Pm2PrIn3Te6 after structural relaxation (GGA-PBE).

Properties
energy relative to the elements, uncorrected: -993 meV/atom
density of states at the Fermi level: 1.32 states/eV per cell
calculated total energy: -53.257 eV per cell
V: 430.0 Å³/cell

Cell: 7.8231 7.8231 8.5211 Å, 98.80 98.80 120.00°
Atoms (fractional coordinates):
Te (0.0757, 0.4123, 0.2268)
Te (0.2614, 0.2614, 0.7741)
Pr (0.0000, 0.0000, 0.0000)
In (0.5000, 0.5000, 0.5000)
Pm (0.6668, 0.3332, 0.0000)
Te (0.9243, 0.5877, 0.7732)
In (0.1659, 0.8341, 0.5000)
In (0.8341, 0.1659, 0.5000)
Te (0.7386, 0.7386, 0.2259)
Te (0.4123, 0.0757, 0.2268)
Pm (0.3332, 0.6668, 0.0000)
Te (0.5877, 0.9243, 0.7732)

---

# 6
Entry from Alexandria via LeMat-Bulk: Hf6RuRh5 after structural relaxation (GGA-PBE).

Properties
density of states at the Fermi level: 10.57 states/eV per cell
calculated total energy: -115.981 eV per cell
E_form: -0.852 eV per atom
V: 208.6 Å³/cell

Cell: 4.6227 6.5217 7.2961 Å, 90.00 71.53 90.00°
Atoms (fractional coordinates):
Rh (0.6663, 0.5000, 0.6674)
Rh (0.6675, 0.0000, 0.6650)
Hf (0.5000, 0.2485, 0.0000)
Hf (0.5000, 0.7515, 0.0000)
Rh (0.0000, 0.5000, 0.0000)
Hf (0.8342, 0.7500, 0.3317)
Hf (0.1658, 0.7500, 0.6683)
Rh (0.3325, 0.0000, 0.3350)
Hf (0.8342, 0.2500, 0.3317)
Rh (0.3337, 0.5000, 0.3326)
Ru (0.0000, 0.0000, 0.0000)
Hf (0.1658, 0.2500, 0.6683)